[1]
DFT (PBE) results for crystalline Fe2CuBAs at its relaxed geometry.

The space group is P4/mmm (No. 123) and the conventional cell measures 4.444, 4.444 and 3.963 Å, with angles of 90.00, 90.00 and 90.00 degrees. Symmetry generates all atoms from Fe at (0.000, 0.500, 0.000), Cu at (0.000, 0.000, 0.500), B at (0.500, 0.500, 0.500) and As at (0.500, 0.500, 0.000).

The value obtained for the energy of formation from the pure elements is 1287 meV/atom. As for the theoretical density: 5.54 g/cm³. As for the total energy: -25.915 eV for the cell shown.


[2]
DFT (PBE) results for crystalline Nd4TlTe3 at its relaxed geometry.

The space group is I4/mmm (No. 139) and the conventional cell measures 6.382, 6.382 and 12.749 Å, with angles of 90.00, 90.00 and 90.00 degrees. Symmetry generates all atoms from Nd at (0.000, 0.000, 0.248), Nd at (0.000, 0.500, 0.000), Tl at (0.000, 0.000, 0.000), Te at (0.000, 0.000, 0.500) and Te at (0.000, 0.500, 0.250).

As for the theoretical density: 7.45 g/cm³. The formation energy without anion corrections is -1.21 eV per atom. As for the total energy: -81.014 eV for the cell shown.


[3]
DFT (PBE) results for crystalline Sm6CN2O2 at its relaxed geometry.

The space group is C2/m (No. 12) and the conventional cell measures 6.228, 10.804 and 6.240 Å, with angles of 90.00, 109.22 and 90.00 degrees. Symmetry generates all atoms from Sm at (0.240, 0.173, 0.241), Sm at (0.246, 0.000, 0.763), C at (0.000, 0.000, 0.000), N at (0.000, 0.331, 0.000) and O at (0.000, 0.164, 0.500).

As for the theoretical density: 8.16 g/cm³. The formation energy without anion corrections is -1.66 eV per atom. As for the total energy: -164.739 eV for the cell shown.


[4]
DFT (PBE) results for crystalline LaTmIn3 at its relaxed geometry.

The space group is Cmcm (No. 63) and the conventional cell measures 6.181, 16.999 and 5.597 Å, with angles of 90.00, 90.00 and 90.00 degrees. Symmetry generates all atoms from La at (0.000, 0.197, 0.250), Tm at (0.000, 0.436, 0.750), In at (0.000, 0.000, 0.000) and In at (0.235, 0.372, 0.250).

The value obtained for the energy of formation from the pure elements is -299 meV/atom. As for the theoretical density: 7.37 g/cm³. As for the total energy: -76.434 eV for the cell shown.


[5]
DFT (PBE) results for crystalline NdTm2Cd at its relaxed geometry.

The space group is P4/mmm (No. 123) and the conventional cell measures 4.855, 4.855 and 4.858 Å, with angles of 90.00, 90.00 and 90.00 degrees. Symmetry generates all atoms from Nd at (0.000, 0.000, 0.000), Tm at (0.000, 0.500, 0.500) and Cd at (0.500, 0.500, 0.000).

The value obtained for the energy of formation from the pure elements is -86 meV/atom. As for the theoretical density: 8.62 g/cm³. As for the total energy: -14.970 eV for the cell shown.


[6]
DFT (PBE) results for crystalline Bi2O3 at its relaxed geometry.

The space group is P2_1/c (No. 14) and the conventional cell measures 5.931, 8.275 and 7.514 Å, with angles of 90.00, 112.33 and 90.00 degrees. Symmetry generates all atoms from Bi at (0.023, 0.185, 0.368), Bi at (0.461, 0.540, 0.724), O at (0.230, 0.532, 0.987), O at (0.265, 0.553, 0.377) and O at (0.278, 0.204, 0.207).

As for the theoretical density: 9.07 g/cm³. The formation energy without anion corrections is -1.23 eV per atom. As for the total energy: -115.048 eV for the cell shown.


[7]
DFT (PBE) results for crystalline RbTl2Tc at its relaxed geometry.

The space group is I-42d (No. 122) and the conventional cell measures 6.629, 6.629 and 16.523 Å, with angles of 90.00, 90.00 and 90.00 degrees. Symmetry generates all atoms from Rb at (0.000, 0.000, 0.000), Tl at (0.009, 0.750, 0.625) and Tc at (0.000, 0.000, 0.500).

The value obtained for the energy of formation from the pure elements is 725 meV/atom. As for the theoretical density: 5.42 g/cm³. As for the total energy: -52.667 eV for the cell shown.


[8]
DFT (PBE) results for crystalline Na2GaBiCl6 at its relaxed geometry.

The space group is R3 (No. 146, hexagonal axes) and the conventional cell measures 7.1969, 7.1969 and 19.5568 Å, with angles of 90.00, 90.00 and 120.00 degrees. Symmetry generates all atoms from Na at (0.0000, 0.0000, 0.0000), Na at (0.0000, 0.0000, 0.4888), Ga at (0.0000, 0.0000, 0.1952), Bi at (0.0000, 0.0000, 0.6862), Cl at (0.0189, 0.7186, 0.5969) and Cl at (0.0227, 0.3428, 0.7576).

As for the theoretical density: 3.05 g/cm³. The formation energy without anion corrections is -1.27 eV per atom. As for the total energy: -100.000 eV for the cell shown.